Entry 1:
Computed, not measured: an optimized crystal structure of Na2Sr6Li at the GGA-PBE level of DFT.

Computed properties:
Electronic total energy ... -1.597 eV per atom
DOS(E_F) ... 0.847 states/eV/atom
Magnetic moment ... 0.000 μB per atom

```
data_Na2Sr6Li
_chemical_formula_sum 'Na4 Sr12 Li2'
_space_group_name_H-M_alt 'P n n m'
_space_group_IT_number 58
_space_group_name_Hall '-P 2 2n'
_cell_length_a 11.786
_cell_length_b 11.792
_cell_length_c 6.133
_cell_angle_alpha 90.00
_cell_angle_beta 90.00
_cell_angle_gamma 90.00
loop_
_atom_site_label
_atom_site_type_symbol
_atom_site_fract_x
_atom_site_fract_y
_atom_site_fract_z
_atom_site_occupancy
Na1 Na 0.200 0.202 0.000 1
Sr1 Sr 0.027 0.317 0.500 1
Sr2 Sr 0.124 0.877 0.000 1
Sr3 Sr 0.183 0.528 0.000 1
Li1 Li 0.000 0.000 0.500 1
```

---

Entry 2:
Computed, not measured: an optimized crystal structure of NaSr6Li at the GGA-PBE level of DFT.

Computed properties:
Electronic total energy ... -1.477 eV per atom
DOS(E_F) ... 1.279 states/eV/atom
Polymorph energy (0 for the lowest one) ... 16.6 kJ per mole of atoms
Magnetic moment ... 0.000 μB per atom

```
data_NaSr6Li
_chemical_formula_sum 'Na1 Sr6 Li1'
_space_group_name_H-M_alt 'P -1'
_space_group_IT_number 2
_space_group_name_Hall '-P 1'
_cell_length_a 8.381
_cell_length_b 8.386
_cell_length_c 8.428
_cell_angle_alpha 90.16
_cell_angle_beta 119.71
_cell_angle_gamma 119.89
loop_
_atom_site_label
_atom_site_type_symbol
_atom_site_fract_x
_atom_site_fract_y
_atom_site_fract_z
_atom_site_occupancy
Na1 Na 0.000 0.000 0.000 1
Sr1 Sr 0.197 0.463 0.257 1
Sr2 Sr 0.205 0.266 0.743 1
Sr3 Sr 0.478 0.939 0.743 1
Li1 Li 0.000 0.500 0.500 1
```

---

Entry 3:
Computed, not measured: an optimized crystal structure of NaSr2Li2 at the GGA-PBE level of DFT.

Computed properties:
Electronic total energy ... -1.667 eV per atom
DOS(E_F) ... 0.728 states/eV/atom
Polymorph energy (0 for the lowest one) ... 0.1 kJ per mole of atoms
Magnetic moment ... 0.000 μB per atom

```
data_NaSr2Li2
_chemical_formula_sum 'Na2 Sr4 Li4'
_space_group_name_H-M_alt 'C m m m'
_space_group_IT_number 65
_space_group_name_Hall '-C 2 2'
_cell_length_a 4.853
_cell_length_b 16.939
_cell_length_c 4.709
_cell_angle_alpha 90.00
_cell_angle_beta 90.00
_cell_angle_gamma 90.00
loop_
_atom_site_label
_atom_site_type_symbol
_atom_site_fract_x
_atom_site_fract_y
_atom_site_fract_z
_atom_site_occupancy
Na1 Na 0.000 0.000 0.000 1
Sr1 Sr 0.000 0.366 0.500 1
Li1 Li 0.000 0.201 0.000 1
```